Entry 1:
The following is a PBE calculation of a geometry-optimized BeSeN2F structure, from Alexandria via LeMat-Bulk.

Cell: 3.7937 3.7937 3.2468 Å, 90.00 90.00 90.00°
With the nearest neighbours (Å) after each atom.
Space group P4/mmm (No. 123)
Inequivalent atoms, fractional coordinates:
Be: 0.0000 0.0000 0.0000 (multiplicity 1)  2 F 1.62
Se: 0.5000 0.5000 0.5000 (multiplicity 1)  8 N 2.50, 4 F 2.68
N: 0.0000 0.5000 0.0000 (multiplicity 2)  2 Be 1.90
F: 0.0000 0.0000 0.5000 (multiplicity 1)  2 Be 1.62

Properties
The calculation puts the volume at 9.3 A^3/atom. The value obtained for the energy relative to the elements, uncorrected is 0.5288 eV/atom. The density of states at the Fermi level comes out at 1.935 states/eV/cell. The calculation puts the energy above the lowest structure with this stoichiometry at 0.0 meV per atom.

***

Entry 2:
The following is a PBE calculation of a geometry-optimized Y2Ho3Tm2 structure, from Alexandria via LeMat-Bulk.

Cell: 3.5217 6.1094 10.6019 Å, 84.34 89.90 73.26°
With the nearest neighbours (Å) after each atom.
Space group P-1 (No. 2)
Inequivalent atoms, fractional coordinates:
Y: 0.2148 0.0705 0.3554 (multiplicity 2)  3 Tm 3.51-3.53, 4 Y 3.52-3.56, 5 Ho 3.53-3.54
Ho: 0.3574 0.7854 0.9308 (multiplicity 2)  5 Tm 3.50-3.55, 5 Ho 3.51-3.52, 2 Y 3.53-3.54
Ho: 0.5000 0.5000 0.5000 (multiplicity 1)  2 Ho 3.52, 6 Y 3.53-3.54, 4 Tm 3.53-3.54
Tm: 0.0702 0.3597 0.7866 (multiplicity 2)  7 Ho 3.50-3.55, 3 Y 3.51-3.53, 2 Tm 3.52

Properties
The calculation puts the volume at 31.0 A^3/atom. Its energy of formation is 26.0 meV/atom. The density of states at the Fermi level comes out at 10.097 states/eV/cell.

***

Entry 3:
The following is a PBE calculation of a geometry-optimized CaSiMo structure, from Alexandria via LeMat-Bulk.

Cell: 4.2971 4.2971 3.9978 Å, 90.00 90.00 120.00°
With the nearest neighbours (Å) after each atom.
Space group P-6m2 (No. 187)
Inequivalent atoms, fractional coordinates:
Ca: 0.0000 0.0000 0.0000 (multiplicity 1)  6 Mo 3.19, 6 Si 3.19
Si: 0.6667 0.3333 0.5000 (multiplicity 1)  3 Mo 2.48
Mo: 0.3333 0.6667 0.5000 (multiplicity 1)  3 Si 2.48

Properties
The calculation puts the volume at 21.3 A^3/atom. The value obtained for the energy relative to the elements, uncorrected is 0.1777 eV/atom. The density of states at the Fermi level comes out at 2.930 states/eV/cell.

***

Entry 4:
The following is a PBE calculation of a geometry-optimized Ho3Si6Ni2Rh structure, from Alexandria via LeMat-Bulk.

Cell: 5.6462 5.6462 7.7214 Å, 90.00 90.00 120.00°
With the nearest neighbours (Å) after each atom.
Space group P-3m1 (No. 164)
Inequivalent atoms, fractional coordinates:
Ho: 0.0000 0.0000 0.0000 (multiplicity 1)  6 Si 2.87
Ho: 0.3333 0.6667 0.6165 (multiplicity 2)  9 Si 2.93-2.94
Si: 0.1899 0.3799 0.2836 (multiplicity 6)  1 Ni 2.34, 2 Si 2.43, 1 Rh 2.50
Ni: 0.3333 0.6667 0.0415 (multiplicity 2)  3 Si 2.34
Rh: 0.0000 0.0000 0.5000 (multiplicity 1)  6 Si 2.50

Properties
The calculation puts the volume at 17.8 A^3/atom. The value obtained for the energy relative to the elements, uncorrected is -0.4096 eV/atom. The density of states at the Fermi level comes out at 6.667 states/eV/cell.

***

Entry 5:
The following is a PBE calculation of a geometry-optimized PS2I structure, from Alexandria via LeMat-Bulk.

Cell: 6.4479 16.8993 5.9547 Å, 90.00 90.00 90.00°
With the nearest neighbours (Å) after each atom.
Space group Pna2_1 (No. 33)
Inequivalent atoms, fractional coordinates:
P: 0.2249 0.1992 0.0000 (multiplicity 4)  2 S 1.92-2.09
S: 0.0069 0.7307 0.3245 (multiplicity 4)  2 P 2.09-2.18
S: 0.2174 0.1887 0.3204 (multiplicity 4)  1 P 1.92
I: 0.0381 0.0073 0.8685 (multiplicity 4)  2 I 3.03

Properties
The calculation puts the volume at 40.6 A^3/atom. The value obtained for the energy relative to the elements, uncorrected is 0.0692 eV/atom. The density of states at the Fermi level comes out at 5.030 states/eV/cell. The calculation puts the energy above the lowest structure with this stoichiometry at 0.0 meV per atom.

***

Entry 6:
The following is a PBE calculation of a geometry-optimized Pa3ReSi2 structure, from Alexandria via LeMat-Bulk.

Cell: 7.6231 7.6231 16.4844 Å, 90.00 90.00 120.00°
With the nearest neighbours (Å) after each atom.
Space group R-3c (No. 167, hexagonal axes)
Inequivalent atoms, fractional coordinates:
Pa: 0.0000 0.3463 0.2500 (multiplicity 18)  2 Re 2.85, 4 Si 2.86-2.96
Re: 0.0000 0.0000 0.0000 (multiplicity 6)  2 Si 2.77, 6 Pa 2.85
Si: 0.0000 0.0000 0.1683 (multiplicity 12)  1 Si 2.69, 1 Re 2.77, 6 Pa 2.86-2.96

Properties
The calculation puts the volume at 23.0 A^3/atom. The value obtained for the energy relative to the elements, uncorrected is -0.2050 eV/atom. The density of states at the Fermi level comes out at 53.876 states/eV/cell. The calculation puts the energy above the lowest structure with this stoichiometry at 206.0 meV per atom.

***

Entry 7:
The following is a PBE calculation of a geometry-optimized LiSmNpO6 structure, from Alexandria via LeMat-Bulk.

Cell: 5.3360 5.3360 10.1469 Å, 90.00 90.00 120.00°
With the nearest neighbours (Å) after each atom.
Space group P-31c (No. 163)
Inequivalent atoms, fractional coordinates:
Li: 0.3333 0.6667 0.2500 (multiplicity 2)  6 O 2.13
Sm: 0.0000 0.0000 0.0000 (multiplicity 2)  6 O 2.36
Np: 0.3333 0.6667 0.7500 (multiplicity 2)  6 O 2.00
O: 0.0196 0.3633 0.6387 (multiplicity 12)  1 Np 2.00, 1 Li 2.13

Properties
The calculation puts the volume at 13.9 A^3/atom. The value obtained for the energy relative to the elements, uncorrected is -2.4965 eV/atom. The density of states at the Fermi level comes out at 18.173 states/eV/cell.

***

Entry 8:
The following is a PBE calculation of a geometry-optimized TaTl2Rh structure, from Alexandria via LeMat-Bulk.

Cell: 5.7551 3.3357 9.5231 Å, 90.00 101.14 90.00°
With the nearest neighbours (Å) after each atom.
Space group Cm (No. 8)
Inequivalent atoms, fractional coordinates:
Ta: 0.0000 0.0000 0.0000 (multiplicity 2)  3 Rh 2.51-2.52
Tl: 0.2470 0.0000 0.7301 (multiplicity 2)  3 Ta 3.17, 9 Tl 3.33-3.42
Tl: 0.4678 0.0000 0.4306 (multiplicity 2)  3 Rh 3.07-3.08, 9 Tl 3.33-3.42
Rh: 0.2224 0.5000 0.1737 (multiplicity 2)  3 Ta 2.51-2.52

Properties
The calculation puts the volume at 22.4 A^3/atom. Its energy of formation is 190.5 meV/atom. The density of states at the Fermi level comes out at 6.774 states/eV/cell. The calculation puts the energy above the lowest structure with this stoichiometry at 93.6 meV per atom.

***

Entry 9:
The following is a PBE calculation of a geometry-optimized Ti3AlMo structure, from Alexandria via LeMat-Bulk.

Cell: 4.3813 16.8464 4.3961 Å, 90.00 90.00 90.00°
With the nearest neighbours (Å) after each atom.
Space group Cmcm (No. 63)
Inequivalent atoms, fractional coordinates:
Ti: 0.0000 0.0538 0.2500 (multiplicity 4)  2 Mo 2.77, 2 Al 2.77, 4 Ti 2.84-2.85
Ti: 0.0000 0.2499 0.2500 (multiplicity 4)  4 Mo 2.72-2.73, 4 Al 2.73
Ti: 0.0000 0.4463 0.2500 (multiplicity 4)  2 Al 2.76, 2 Mo 2.77, 4 Ti 2.84-2.85
Al: 0.0000 0.1536 0.7500 (multiplicity 4)  8 Ti 2.73-2.77
Mo: 0.0000 0.3459 0.7500 (multiplicity 4)  8 Ti 2.72-2.77

Properties
The calculation puts the volume at 16.2 A^3/atom. Its energy of formation is -249.7 meV/atom. The density of states at the Fermi level comes out at 15.552 states/eV/cell. The calculation puts the energy above the lowest structure with this stoichiometry at 0.0 meV per atom.

***

Entry 10:
The following is a PBE calculation of a geometry-optimized BaSr2Sn structure, from Alexandria via LeMat-Bulk.

Cell: 5.4459 5.4459 5.4995 Å, 90.00 90.00 90.00°
With the nearest neighbours (Å) after each atom.
Space group P4/mmm (No. 123)
Inequivalent atoms, fractional coordinates:
Ba: 0.0000 0.0000 0.0000 (multiplicity 1)  4 Sn 3.85, 8 Sr 3.87
Sr: 0.0000 0.5000 0.5000 (multiplicity 2)  4 Sr 3.85, 4 Ba 3.87, 4 Sn 3.87
Sn: 0.5000 0.5000 0.0000 (multiplicity 1)  4 Ba 3.85, 8 Sr 3.87

Properties
The calculation puts the volume at 40.8 A^3/atom. Its energy of formation is -347.0 meV/atom. The density of states at the Fermi level comes out at 2.735 states/eV/cell.

***

Entry 11:
The following is a PBE calculation of a geometry-optimized VSeS structure, from Alexandria via LeMat-Bulk.

Cell: 3.2769 3.2769 6.5405 Å, 90.00 90.00 120.00°
With the nearest neighbours (Å) after each atom.
Space group P3m1 (No. 156)
Inequivalent atoms, fractional coordinates:
V: 0.0000 0.0000 0.0000 (multiplicity 1)  3 S 2.35, 3 Se 2.51
Se: 0.3333 0.6667 0.7489 (multiplicity 1)  3 V 2.51
S: 0.6667 0.3333 0.2132 (multiplicity 1)  3 V 2.35

Properties
The calculation puts the volume at 20.3 A^3/atom. The value obtained for the energy relative to the elements, uncorrected is -0.7811 eV/atom. The density of states at the Fermi level comes out at 1.080 states/eV/cell. The calculation puts the energy above the lowest structure with this stoichiometry at 0.0 meV per atom.

***

Entry 12:
The following is a PBE calculation of a geometry-optimized Ce2CuGe3 structure, from Alexandria via LeMat-Bulk.

Cell: 4.1852 4.2494 7.2215 Å, 90.00 90.00 90.00°
With the nearest neighbours (Å) after each atom.
Space group Pmm2 (No. 25)
Inequivalent atoms, fractional coordinates:
Ce: 0.0000 0.0000 0.0000 (multiplicity 1)  8 Ge 3.14-3.18, 4 Cu 3.26
Ce: 0.0000 0.5000 0.4890 (multiplicity 1)  2 Cu 3.17, 10 Ge 3.19-3.27
Cu: 0.5000 0.5000 0.8190 (multiplicity 1)  3 Ge 2.36-2.37
Ge: 0.5000 0.0000 0.3311 (multiplicity 1)  3 Ge 2.49-2.51
Ge: 0.5000 0.0000 0.6758 (multiplicity 1)  2 Cu 2.36, 1 Ge 2.49
Ge: 0.5000 0.5000 0.1466 (multiplicity 1)  1 Cu 2.37, 2 Ge 2.51

Properties
The calculation puts the volume at 21.4 A^3/atom. Its energy of formation is -603.1 meV/atom. The density of states at the Fermi level comes out at 12.561 states/eV/cell. The calculation puts the energy above the lowest structure with this stoichiometry at 20.5 meV per atom.